A relaxed structure of PmSmPuMg. Source: the Alexandria database, functional PBE.

a b c (Å): 5.538 5.538 5.538
angles (deg): 60.00 60.00 60.00
Sites, in units of the cell vectors:
Pm 0.000 0.000 0.000
Sm 0.500 0.500 0.500
Pu 0.750 0.750 0.750
Mg 0.250 0.250 0.250

Results
* Fermi-level density of states: 14.96 states/eV/f.u.
* E_tot: -24.80 eV for the cell shown



A relaxed structure of PmPuMgSn. Source: the Alexandria database, functional PBE.

a b c (Å): 5.385 5.385 5.385
angles (deg): 60.00 60.00 60.00
Sites, in units of the cell vectors:
Pm 0.000 0.000 0.000
Pu 0.500 0.500 0.500
Mg 0.750 0.750 0.750
Sn 0.250 0.250 0.250

Results
* Fermi-level density of states: 10.27 states/eV/f.u.
* E_tot: -25.65 eV for the cell shown



A relaxed structure of TbPmPuMg. Source: the Alexandria database, functional PBE.

a b c (Å): 5.507 5.507 5.507
angles (deg): 60.00 60.00 60.00
Sites, in units of the cell vectors:
Tb 0.000 0.000 0.000
Pm 0.500 0.500 0.500
Pu 0.250 0.250 0.250
Mg 0.750 0.750 0.750

Results
* Fermi-level density of states: 14.54 states/eV/f.u.
* E_tot: -24.71 eV for the cell shown



A relaxed structure of PmPuThMg. Source: the Alexandria database, functional PBE.

a b c (Å): 5.486 5.486 5.486
angles (deg): 60.00 60.00 60.00
Sites, in units of the cell vectors:
Pm 0.000 0.000 0.000
Pu 0.750 0.750 0.750
Th 0.500 0.500 0.500
Mg 0.250 0.250 0.250

Results
* Fermi-level density of states: 16.11 states/eV/f.u.
* E_tot: -27.41 eV for the cell shown



A relaxed structure of PmPuMgTl. Source: the Alexandria database, functional PBE.

a b c (Å): 5.433 5.433 5.433
angles (deg): 60.00 60.00 60.00
Sites, in units of the cell vectors:
Pm 0.000 0.000 0.000
Pu 0.500 0.500 0.500
Mg 0.250 0.250 0.250
Tl 0.750 0.750 0.750

Results
* Fermi-level density of states: 8.78 states/eV/f.u.
* E_tot: -23.23 eV for the cell shown



A relaxed structure of PmYPuMg. Source: the Alexandria database, functional PBE.

a b c (Å): 5.514 5.514 5.514
angles (deg): 60.00 60.00 60.00
Sites, in units of the cell vectors:
Pm 0.000 0.000 0.000
Y 0.500 0.500 0.500
Pu 0.250 0.250 0.250
Mg 0.750 0.750 0.750

Results
* Fermi-level density of states: 14.76 states/eV/f.u.
* E_tot: -26.54 eV for the cell shown



A relaxed structure of RbPm2Mg. Source: the Alexandria database, functional PBE.

a b c (Å): 13.267 13.267 13.267
angles (deg): 15.85 15.85 15.85
Sites, in units of the cell vectors:
Rb 0.000 0.000 0.000
Pm 0.100 0.100 0.100
Pm 0.900 0.900 0.900
Mg 0.500 0.500 0.500

Results
* Fermi-level density of states: 5.45 states/eV/f.u.
* E_tot: -10.87 eV for the cell shown



A relaxed structure of Rb3Pm2MgS6. Source: the Alexandria database, functional PBE.

a b c (Å): 7.116 7.116 8.062
angles (deg): 98.46 98.46 120.03
Sites, in units of the cell vectors:
Rb 0.000 0.000 0.000
Rb 0.333 0.667 0.000
Rb 0.667 0.333 0.000
Pm 0.167 0.833 0.500
Pm 0.833 0.167 0.500
Mg 0.500 0.500 0.500
S 0.113 0.436 0.308
S 0.242 0.242 0.693
S 0.436 0.113 0.308
S 0.564 0.887 0.692
S 0.758 0.758 0.307
S 0.887 0.564 0.692

Results
* Fermi-level density of states: 12.79 states/eV/f.u.
* E_tot: -56.70 eV for the cell shown



A relaxed structure of Rb2PmMg2Se4. Source: the Alexandria database, functional PBE.

a b c (Å): 8.425 8.425 8.359
angles (deg): 107.66 107.66 29.45
Sites, in units of the cell vectors:
Rb 0.125 0.125 0.040
Rb 0.875 0.875 0.960
Pm 0.000 0.000 0.500
Mg 0.329 0.329 0.523
Mg 0.671 0.671 0.477
Se 0.203 0.203 0.668
Se 0.479 0.479 0.739
Se 0.521 0.521 0.261
Se 0.797 0.797 0.332

Results
* Fermi-level density of states: 3.68 states/eV/f.u.
* E_tot: -35.58 eV for the cell shown



A relaxed structure of RbPmMgSe3. Source: the Alexandria database, functional PBE.

a b c (Å): 9.446 4.352 10.312
angles (deg): 90.00 107.74 90.00
Sites, in units of the cell vectors:
Rb 0.206 0.250 0.228
Rb 0.794 0.750 0.772
Pm 0.332 0.750 0.864
Pm 0.668 0.250 0.136
Mg 0.085 0.250 0.608
Mg 0.915 0.750 0.392
Se 0.116 0.250 0.861
Se 0.198 0.750 0.540
Se 0.465 0.750 0.156
Se 0.535 0.250 0.844
Se 0.802 0.250 0.460
Se 0.884 0.750 0.139

Results
* Fermi-level density of states: 0.00 states/eV/f.u.
* E_tot: -54.17 eV for the cell shown



A relaxed structure of RbPmMgTe3. Source: the Alexandria database, functional PBE.

a b c (Å): 10.034 4.603 10.933
angles (deg): 90.00 108.46 90.00
Sites, in units of the cell vectors:
Rb 0.210 0.250 0.236
Rb 0.790 0.750 0.764
Pm 0.329 0.750 0.865
Pm 0.671 0.250 0.135
Mg 0.084 0.250 0.608
Mg 0.916 0.750 0.392
Te 0.109 0.250 0.867
Te 0.209 0.750 0.539
Te 0.467 0.750 0.163
Te 0.533 0.250 0.837
Te 0.791 0.250 0.461
Te 0.891 0.750 0.133

Results
* Fermi-level density of states: 0.00 states/eV/f.u.
* E_tot: -48.13 eV for the cell shown



A relaxed structure of PmMgRe. Source: the Alexandria database, functional PBE.

a b c (Å): 3.504 3.418 11.249
angles (deg): 90.00 90.07 90.00
Sites, in units of the cell vectors:
Pm 0.248 0.250 0.149
Pm 0.752 0.750 0.851
Mg 0.249 0.250 0.425
Mg 0.751 0.750 0.575
Re 0.251 0.250 0.702
Re 0.749 0.750 0.298

Results
* Fermi-level density of states: 2.89 states/eV/f.u.
* E_tot: -34.85 eV for the cell shown